(P)
## SrMoAs2 (meta-GGA SCAN)

Data for SrMoAs2 at its PBEsol-relaxed geometry.

Cell lengths 6.804, 6.804, 6.804 Å; angles 90.00, 90.00, 90.00 degrees
Space group F-43m (No. 216)
Symmetry-distinct sites (fractional):
Sr1 0.000 0.000 0.000 [4 per cell]
Mo1 0.250 0.250 0.750 [4 per cell]
As1 0.000 0.000 0.500 [4 per cell]
As2 0.250 0.250 0.250 [4 per cell]

As for the density of states at the Fermi level: 8.67 states/eV/cell. The calculation puts the magnetic moment at 2.31 μB/f.u.

(Q)
## SrMoAs2 (meta-GGA SCAN)

Data for SrMoAs2 at its PBEsol-relaxed geometry.

Cell lengths 3.7505, 3.7505, 20.9625 Å; angles 90.00, 90.00, 120.00 degrees
Space group R-3m (No. 166, hexagonal axes)
Symmetry-distinct sites (fractional):
Sr1 0.0000 0.0000 0.0000 [3 per cell]
Mo1 0.0000 0.0000 0.5000 [3 per cell]
As1 0.0000 0.0000 0.2338 [6 per cell]

As for the density of states at the Fermi level: 2.67 states/eV/cell. The calculation puts the magnetic moment at 0.00 μB/f.u.

Least stable: (P)

(P)
## TcMoAs2 (meta-GGA SCAN)

Data for TcMoAs2 at its PBEsol-relaxed geometry.

Cell lengths 2.912, 3.882, 5.322 Å; angles 90.00, 90.00, 90.00 degrees
Space group Pmm2 (No. 25)
Symmetry-distinct sites (fractional):
Tc1 0.000 0.000 0.000 [1 per cell]
Mo1 0.500 0.500 0.682 [1 per cell]
As1 0.000 0.000 0.507 [1 per cell]
As2 0.500 0.500 0.169 [1 per cell]

As for the density of states at the Fermi level: 2.56 states/eV/cell. The calculation puts the magnetic moment at 0.39 μB/f.u.

(Q)
## TcMoAs2 (meta-GGA SCAN)

Data for TcMoAs2 at its PBEsol-relaxed geometry.

Cell lengths 6.243, 6.243, 6.243 Å; angles 90.00, 90.00, 90.00 degrees
Space group F-43m (No. 216)
Symmetry-distinct sites (fractional):
Tc1 0.000 0.000 0.000 [4 per cell]
Mo1 0.250 0.250 0.250 [4 per cell]
As1 0.000 0.000 0.500 [4 per cell]
As2 0.250 0.250 0.750 [4 per cell]

As for the density of states at the Fermi level: 16.95 states/eV/cell. The calculation puts the magnetic moment at 0.00 μB/f.u.

(R)
## TcMoAs2 (meta-GGA SCAN)

Data for TcMoAs2 at its PBEsol-relaxed geometry.

Cell lengths 3.112, 4.593, 9.344 Å; angles 90.00, 90.00, 90.00 degrees
Space group Cmm2 (No. 35)
Symmetry-distinct sites (fractional):
Tc1 0.000 0.000 0.000 [2 per cell]
Mo1 0.000 0.500 0.770 [2 per cell]
As1 0.000 0.000 0.547 [2 per cell]
As2 0.000 0.500 0.213 [2 per cell]

As for the density of states at the Fermi level: 6.80 states/eV/cell. The calculation puts the magnetic moment at 0.00 μB/f.u.

(S)
## TcMoAs2 (meta-GGA SCAN)

Data for TcMoAs2 at its PBEsol-relaxed geometry.

Cell lengths 5.911, 7.924, 2.945 Å; angles 90.00, 116.86, 90.00 degrees
Space group C2/m (No. 12)
Symmetry-distinct sites (fractional):
Tc1 0.000 0.000 0.000 [2 per cell]
Mo1 0.000 0.500 0.000 [2 per cell]
As1 0.250 0.250 0.500 [4 per cell]

As for the density of states at the Fermi level: 5.59 states/eV/cell. The calculation puts the magnetic moment at 0.00 μB/f.u.

Least stable: (Q)

(P)
## TcMoAs2 (meta-GGA SCAN)

Data for TcMoAs2 at its PBEsol-relaxed geometry.

Cell lengths 3.065, 3.967, 5.074 Å; angles 90.00, 90.00, 90.00 degrees
Space group Pmmm (No. 47)
Symmetry-distinct sites (fractional):
Tc1 0.000 0.000 0.000 [1 per cell]
Mo1 0.500 0.000 0.500 [1 per cell]
As1 0.000 0.500 0.500 [1 per cell]
As2 0.500 0.500 0.000 [1 per cell]

As for the density of states at the Fermi level: 3.32 states/eV/cell. The calculation puts the magnetic moment at 0.00 μB/f.u.

(Q)
## TcMoAs2 (meta-GGA SCAN)

Data for TcMoAs2 at its PBEsol-relaxed geometry.

Cell lengths 2.965, 3.904, 5.330 Å; angles 90.00, 92.72, 90.00 degrees
Space group P2/m (No. 10)
Symmetry-distinct sites (fractional):
Tc1 0.000 0.000 0.000 [1 per cell]
Mo1 0.500 0.000 0.500 [1 per cell]
As1 0.142 0.500 0.741 [2 per cell]

As for the density of states at the Fermi level: 2.99 states/eV/cell. The calculation puts the magnetic moment at 0.00 μB/f.u.

Least stable: (P)

(P)
## TiMoAs2 (meta-GGA SCAN)

Data for TiMoAs2 at its PBEsol-relaxed geometry.

Cell lengths 6.224, 6.224, 6.224 Å; angles 90.00, 90.00, 90.00 degrees
Space group Fm-3m (No. 225)
Symmetry-distinct sites (fractional):
Ti1 0.000 0.000 0.000 [4 per cell]
Mo1 0.000 0.000 0.500 [4 per cell]
As1 0.250 0.250 0.250 [8 per cell]

As for the density of states at the Fermi level: 8.53 states/eV/cell. The calculation puts the magnetic moment at 0.00 μB/f.u.

(Q)
## TiMoAs2 (meta-GGA SCAN)

Data for TiMoAs2 at its PBEsol-relaxed geometry.

Cell lengths 3.337, 6.433, 6.029 Å; angles 90.00, 90.00, 90.00 degrees
Space group Pmc2_1 (No. 26)
Symmetry-distinct sites (fractional):
Ti1 0.000 0.066 0.000 [2 per cell]
Mo1 0.500 0.438 0.013 [2 per cell]
As1 0.000 0.321 0.311 [2 per cell]
As2 0.500 0.185 0.697 [2 per cell]

As for the density of states at the Fermi level: 2.89 states/eV/cell. The calculation puts the magnetic moment at 0.00 μB/f.u.

Least stable: (P)

(P)
## YMoAs2 (meta-GGA SCAN)

Data for YMoAs2 at its PBEsol-relaxed geometry.

Cell lengths 3.200, 3.200, 6.893 Å; angles 90.00, 90.00, 90.00 degrees
Space group P4/mmm (No. 123)
Symmetry-distinct sites (fractional):
Y1 0.000 0.000 0.000 [1 per cell]
Mo1 0.000 0.000 0.500 [1 per cell]
As1 0.500 0.500 0.289 [2 per cell]

As for the density of states at the Fermi level: 1.89 states/eV/cell. The calculation puts the magnetic moment at 0.19 μB/f.u.

(Q)
## YMoAs2 (meta-GGA SCAN)

Data for YMoAs2 at its PBEsol-relaxed geometry.

Cell lengths 3.373, 3.560, 12.869 Å; angles 90.00, 90.00, 90.00 degrees
Space group Imm2 (No. 44)
Symmetry-distinct sites (fractional):
Y1 0.000 0.000 0.000 [2 per cell]
Mo1 0.000 0.500 0.251 [2 per cell]
As1 0.000 0.000 0.608 [2 per cell]
As2 0.000 0.500 0.827 [2 per cell]

As for the density of states at the Fermi level: 4.06 states/eV/cell. The calculation puts the magnetic moment at 0.79 μB/f.u.

Least stable: (P)

(P)
## YMoAs2 (meta-GGA SCAN)

Data for YMoAs2 at its PBEsol-relaxed geometry.

Cell lengths 3.8821, 3.8821, 18.0221 Å; angles 90.00, 90.00, 120.00 degrees
Space group R-3m (No. 166, hexagonal axes)
Symmetry-distinct sites (fractional):
Y1 0.0000 0.0000 0.0000 [3 per cell]
Mo1 0.0000 0.0000 0.5000 [3 per cell]
As1 0.0000 0.0000 0.2384 [6 per cell]

As for the density of states at the Fermi level: 5.28 states/eV/cell. The calculation puts the magnetic moment at 2.24 μB/f.u.

(Q)
## YMoAs2 (meta-GGA SCAN)

Data for YMoAs2 at its PBEsol-relaxed geometry.

Cell lengths 5.569, 5.569, 13.385 Å; angles 90.00, 90.00, 90.00 degrees
Space group I-42d (No. 122)
Symmetry-distinct sites (fractional):
Y1 0.000 0.000 0.000 [4 per cell]
Mo1 0.000 0.000 0.500 [4 per cell]
As1 0.183 0.250 0.625 [8 per cell]

As for the density of states at the Fermi level: 9.31 states/eV/cell. The calculation puts the magnetic moment at 1.66 μB/f.u.

(R)
## YMoAs2 (meta-GGA SCAN)

Data for YMoAs2 at its PBEsol-relaxed geometry.

Cell lengths 3.920, 3.920, 9.709 Å; angles 90.00, 90.00, 90.00 degrees
Space group I-4m2 (No. 119)
Symmetry-distinct sites (fractional):
Y1 0.000 0.000 0.000 [2 per cell]
Mo1 0.000 0.500 0.750 [2 per cell]
As1 0.000 0.000 0.500 [2 per cell]
As2 0.000 0.500 0.250 [2 per cell]

As for the density of states at the Fermi level: 4.27 states/eV/cell. The calculation puts the magnetic moment at 2.77 μB/f.u.

Least stable: (Q)